# 1
## Zr2SnBr (PBE-GGA)

Data for Zr2SnBr after structural relaxation.

Output
Size of the total moment (μB per formula unit): 0.00
Formation energy without anion corrections (eV per atom): 0.17
Energy above the most stable polymorph in this dataset (meV/atom): 499.3

abc: 4.4428 4.4428 20.2634
angles: 90.00 90.00 90.00
Space group I-42d (No. 122)
One atom of each set of equivalent atoms:
Zr 0.2455 0.2500 0.1250
Sn 0.0000 0.0000 0.0000
Br 0.0000 0.0000 0.5000

=====

# 2
## Zr2Sn2Br (PBE-GGA)

Data for Zr2Sn2Br after structural relaxation.

Output
Size of the total moment (μB per formula unit): 0.00
Formation energy without anion corrections (eV per atom): -0.41
Energy above the most stable polymorph in this dataset (meV/atom): 0.0

abc: 7.8271 7.8271 3.9368
angles: 90.00 90.00 90.00
Space group P4/mbm (No. 127)
One atom of each set of equivalent atoms:
Zr 0.1663 0.3337 0.0000
Sn 0.1321 0.6321 0.5000
Br 0.0000 0.0000 0.0000

=====

# 3
## Zr2Sn2Br (PBE-GGA)

Data for Zr2Sn2Br after structural relaxation.

Output
Size of the total moment (μB per formula unit): 0.00
Formation energy without anion corrections (eV per atom): 0.01
Energy above the most stable polymorph in this dataset (meV/atom): 421.1

abc: 5.3582 5.3582 10.0273
angles: 90.00 90.00 90.00
Space group I4/mmm (No. 139)
One atom of each set of equivalent atoms:
Zr 0.0000 0.5000 0.2500
Sn 0.0000 0.0000 0.1401
Br 0.0000 0.0000 0.5000

=====

# 4
## Zr2SnBr (PBE-GGA)

Data for Zr2SnBr after structural relaxation.

Output
Size of the total moment (μB per formula unit): 0.00
Formation energy without anion corrections (eV per atom): -0.33
Energy above the most stable polymorph in this dataset (meV/atom): 0.0

abc: 7.0682 7.0682 7.0682
angles: 90.00 90.00 90.00
Space group Fm-3m (No. 225)
One atom of each set of equivalent atoms:
Zr 0.2500 0.2500 0.2500
Sn 0.0000 0.0000 0.0000
Br 0.0000 0.0000 0.5000